No. 1
DFT (PBE-GGA) results for Be2AlAu after structural relaxation.

## Properties
Calculated formation energy: 63 meV/atom

Geometry as CIF:
```
data_Be2AlAu
_cell_length_a 8.0933
_cell_length_b 3.1254
_cell_length_c 4.2790
_cell_angle_alpha 90.00
_cell_angle_beta 102.64
_cell_angle_gamma 90.00
_space_group_name_H-M_alt 'C 1 2/m 1'
_space_group_IT_number 12
_space_group_name_Hall '-C 2y'
loop_
_atom_site_label
_atom_site_type_symbol
_atom_site_fract_x
_atom_site_fract_y
_atom_site_fract_z
Be1 Be 0.2463 0.0000 0.2461
Al1 Al 0.0000 0.0000 0.5000
Au1 Au 0.0000 0.5000 0.0000
```

No. 2
DFT (PBE-GGA) results for BeAlAu2 after structural relaxation.

## Properties
Calculated formation energy: -85 meV/atom

Geometry as CIF:
```
data_BeAlAu2
_cell_length_a 8.3646
_cell_length_b 2.8876
_cell_length_c 5.4783
_cell_angle_alpha 90.00
_cell_angle_beta 107.35
_cell_angle_gamma 90.00
_space_group_name_H-M_alt 'C 1 2/m 1'
_space_group_IT_number 12
_space_group_name_Hall '-C 2y'
loop_
_atom_site_label
_atom_site_type_symbol
_atom_site_fract_x
_atom_site_fract_y
_atom_site_fract_z
Be1 Be 0.0000 0.0000 0.0000
Al1 Al 0.0000 0.5000 0.5000
Au1 Au 0.2259 0.5000 0.2321
```

| no. | calculated total energy (eV for the cell shown) | spin magnetization (μB per formula unit) |
| --- | --- | --- |
| 1 | -28.4 | 0.00 |
| 2 | -28.7 | 0.00 |